1.
A plane-wave DFT calculation with PBE was carried out for CaScBe2 after structural relaxation.

abc: 3.373 3.372 7.402
angles: 62.90 90.00 90.00
Atoms (fractional coordinates):
Sc 0.500 0.750 0.750
Be 0.000 0.062 0.938
Be 0.000 0.438 0.562
Ca 0.500 0.250 0.250

Calculated values
Distance to the lowest polymorph of the same formula (eV/f.u.): 0.00
Energy of formation (kJ per mole of atoms): 14.88
Fermi-level density of states (states/eV per cell): 2.18

2.
A plane-wave DFT calculation with PBE was carried out for CaSc2Be after structural relaxation.

abc: 7.980 7.980 6.403
angles: 51.45 51.45 90.00
Atoms (fractional coordinates):
Sc 0.192 0.125 0.250
Sc 0.558 0.625 0.250
Sc 0.375 0.808 0.750
Sc 0.875 0.442 0.750
Be 0.500 0.500 0.000
Be 0.250 0.750 0.500
Ca 0.000 0.000 0.000
Ca 0.750 0.250 0.500

Calculated values
Energy of formation (kJ per mole of atoms): 38.65
Fermi-level density of states (states/eV per cell): 5.74

3.
A plane-wave DFT calculation with PBE was carried out for CaScBe2 after structural relaxation.

abc: 4.714 4.714 4.714
angles: 60.00 60.00 60.00
Atoms (fractional coordinates):
Sc 0.500 0.500 0.500
Be 0.250 0.250 0.250
Be 0.750 0.750 0.750
Ca 0.000 0.000 0.000

Calculated values
Distance to the lowest polymorph of the same formula (eV/f.u.): 0.47
Energy of formation (kJ per mole of atoms): 26.15
Fermi-level density of states (states/eV per cell): 3.31

4.
A plane-wave DFT calculation with PBE was carried out for CaScBe2 after structural relaxation.

abc: 5.535 5.535 4.719
angles: 64.73 64.73 33.73
Atoms (fractional coordinates):
Sc 0.281 0.281 0.219
Be 0.043 0.043 0.957
Be 0.699 0.699 0.801
Ca 0.477 0.477 0.523

Calculated values
Distance to the lowest polymorph of the same formula (eV/f.u.): 0.49
Energy of formation (kJ per mole of atoms): 26.78
Fermi-level density of states (states/eV per cell): 2.54

5.
A plane-wave DFT calculation with PBE was carried out for CaScBe after structural relaxation.

abc: 4.731 4.731 4.731
angles: 60.00 60.00 60.00
Atoms (fractional coordinates):
Sc 0.500 0.500 0.500
Be 0.250 0.250 0.250
Ca 0.000 0.000 0.000

Calculated values
Distance to the lowest polymorph of the same formula (eV/f.u.): 0.04
Energy of formation (kJ per mole of atoms): 44.04
Fermi-level density of states (states/eV per cell): 4.31

6.
A plane-wave DFT calculation with PBE was carried out for Ca2ScBe after structural relaxation.

abc: 8.632 8.632 8.632
angles: 157.75 151.78 36.22
Atoms (fractional coordinates):
Sc 0.750 0.250 0.500
Be 0.250 0.750 0.500
Ca 0.091 0.091 0.000
Ca 0.409 0.409 0.000

Calculated values
Energy of formation (kJ per mole of atoms): 26.85
Fermi-level density of states (states/eV per cell): 3.94